(1)
# LaTi2TlAu PBE optimized geometry
data_LaTi2TlAu
_space_group_name_H-M_alt 'P 1'
_space_group_IT_number 1
_space_group_name_Hall 'P 1'
_cell_length_a 5.2668
_cell_length_b 5.2668
_cell_length_c 5.2023
_cell_angle_alpha 90.00
_cell_angle_beta 90.00
_cell_angle_gamma 90.00
loop_
_atom_site_label
_atom_site_fract_x
_atom_site_fract_y
_atom_site_fract_z
La1 0.0000 0.0000 0.0000
Ti1 0.0000 0.5000 0.5000
Ti2 0.5000 0.0000 0.5000
Tl1 0.5000 0.5000 0.5000
Au1 0.5000 0.5000 0.0000
# Space-group type: No. 123
# Total magnetization (μB/cell): 5.05
# N(E_F) (states/eV/cell): 6.47
# DFT total energy (eV/atom): -4.545
# Energy of formation from the pure elements (eV/f.u.): 3.64


(2)
# La3CoSn PBE optimized geometry
data_La3CoSn
_space_group_name_H-M_alt 'P 1'
_space_group_IT_number 1
_space_group_name_Hall 'P 1'
_cell_length_a 8.6597
_cell_length_b 8.6597
_cell_length_c 7.8741
_cell_angle_alpha 96.61
_cell_angle_beta 96.61
_cell_angle_gamma 108.24
loop_
_atom_site_label
_atom_site_fract_x
_atom_site_fract_y
_atom_site_fract_z
La1 0.0228 0.3439 0.5906
La2 0.0547 0.6879 0.9104
La3 0.3121 0.9453 0.5896
La4 0.3319 0.3744 0.8948
La5 0.3439 0.0228 0.0906
La6 0.3744 0.3319 0.3948
La7 0.6256 0.6681 0.6052
La8 0.6561 0.9772 0.9094
La9 0.6681 0.6256 0.1052
La10 0.6879 0.0547 0.4104
La11 0.9453 0.3121 0.0896
La12 0.9772 0.6561 0.4094
Co1 0.2692 0.6091 0.6020
Co2 0.3909 0.7308 0.8980
Co3 0.6091 0.2692 0.1020
Co4 0.7308 0.3909 0.3980
Sn1 0.0037 0.9963 0.2500
Sn2 0.3318 0.6682 0.2500
Sn3 0.6682 0.3318 0.7500
Sn4 0.9963 0.0037 0.7500
# Space-group type: No. 15
# Total magnetization (μB/cell): 0.00
# Offset from the most stable computed form (meV/atom): 106
# N(E_F) (states/eV/cell): 23.35
# DFT total energy (eV/atom): -5.520
# Energy of formation from the pure elements (eV/f.u.): -1.71


(3)
# Sr2LiZnS PBE optimized geometry
data_Sr2LiZnS
_space_group_name_H-M_alt 'P 1'
_space_group_IT_number 1
_space_group_name_Hall 'P 1'
_cell_length_a 5.8338
_cell_length_b 5.8338
_cell_length_c 4.5365
_cell_angle_alpha 90.00
_cell_angle_beta 90.00
_cell_angle_gamma 90.00
loop_
_atom_site_label
_atom_site_fract_x
_atom_site_fract_y
_atom_site_fract_z
Sr1 0.0000 0.5000 0.0000
Sr2 0.5000 0.0000 0.0000
Li1 0.0000 0.0000 0.5000
Zn1 0.5000 0.5000 0.5000
S1 0.0000 0.0000 0.0000
# Space-group type: No. 123
# Total magnetization (μB/cell): 0.40
# N(E_F) (states/eV/cell): 4.44
# Formation energy (no corrections) (eV/atom): -0.7406
# DFT total energy (eV/atom): -2.876


(4)
# TbGa12Tc4 PBE optimized geometry
data_TbGa12Tc4
_space_group_name_H-M_alt 'P 1'
_space_group_IT_number 1
_space_group_name_Hall 'P 1'
_cell_length_a 8.3062
_cell_length_b 8.3062
_cell_length_c 8.3062
_cell_angle_alpha 109.47
_cell_angle_beta 109.47
_cell_angle_gamma 109.47
loop_
_atom_site_label
_atom_site_fract_x
_atom_site_fract_y
_atom_site_fract_z
Tb1 0.0000 0.0000 0.0000
Ga1 0.0000 0.2620 0.7380
Ga2 0.0000 0.7380 0.2620
Ga3 0.2620 0.0000 0.7380
Ga4 0.2620 0.2620 0.5240
Ga5 0.2620 0.5240 0.2620
Ga6 0.2620 0.7380 0.0000
Ga7 0.4760 0.7380 0.7380
Ga8 0.5240 0.2620 0.2620
Ga9 0.7380 0.0000 0.2620
Ga10 0.7380 0.2620 0.0000
Ga11 0.7380 0.4760 0.7380
Ga12 0.7380 0.7380 0.4760
Tc1 0.0000 0.0000 0.5000
Tc2 0.0000 0.5000 0.0000
Tc3 0.5000 0.0000 0.0000
Tc4 0.5000 0.5000 0.5000
# Space-group type: No. 229
# Total magnetization (μB/cell): 0.00
# N(E_F) (states/eV/cell): 5.68
# DFT total energy (eV/atom): -4.824
# Energy of formation from the pure elements (eV/f.u.): 0.41